## LiHfBe2Si (PBE-GGA)

Data for a relaxed structure of LiHfBe2Si.

Lattice parameters (Å, degrees): 4.1242 4.1242 4.2316 90.00 90.00 90.00
With the nearest neighbours (Å) after each atom.
Space group P4/mmm (No. 123)
Inequivalent atoms, fractional coordinates:
Li  0.0000  0.0000  0.0000  2 Si 2.12
Hf  0.5000  0.5000  0.0000  4 Li 2.92, 8 Be 2.95
Be  0.0000  0.5000  0.5000  2 Si 2.06
Si  0.0000  0.0000  0.5000  4 Be 2.06, 2 Li 2.12

Values from the calculation:
- magnetization (μB/cell) = 0.00
- D(E_F) (states/eV/f.u.) = 2.4
- raw formation energy (eV per atom) = 0.56


## YTiCu (PBE-GGA)

Data for a relaxed structure of YTiCu.

Lattice parameters (Å, degrees): 4.5472 5.7648 5.8783 61.39 67.43 66.77
With the nearest neighbours (Å) after each atom.
Space group P1 (No. 1)
Inequivalent atoms, fractional coordinates:
Y  0.0000  0.0000  0.0000  1 Cu 2.81, 4 Ti 3.12-3.14
Y  0.3552  0.7639  0.5244  5 Cu 2.83-3.17, 2 Ti 3.00-3.12
Ti  0.2760  0.3583  0.0918  1 Cu 2.51, 2 Ti 2.53
Ti  0.7028  0.5871  0.0088  2 Ti 2.53, 1 Cu 2.76
Cu  0.0179  0.4518  0.5103  1 Ti 2.51, 2 Cu 2.71
Cu  0.6583  0.1724  0.5090  2 Cu 2.71, 1 Ti 2.76

Values from the calculation:
- polymorph energy (0 for the lowest one) (meV per atom) = 164
- magnetization (μB/cell) = 0.00
- E_form (eV/atom) = 0.130
- D(E_F) (states/eV/f.u.) = 4.0


## UB2F8 (PBE-GGA)

Data for a relaxed structure of UB2F8.

Lattice parameters (Å, degrees): 9.3187 8.2093 5.1829 90.00 95.24 90.00
With the nearest neighbours (Å) after each atom.
Space group C2/m (No. 12)
Inequivalent atoms, fractional coordinates:
U  0.0000  0.0000  0.0000  4 F 2.03
B  0.2367  0.5000  0.7742  2 F 1.32
F  0.0688  0.1757  0.7640  1 U 2.03
F  0.1388  0.5000  0.9440  1 B 1.32
F  0.1976  0.5000  0.5224  1 B 1.32

Values from the calculation:
- magnetization (μB/cell) = 0.10
- raw formation energy (eV per atom) = -2.53


## Na2Zn3InGe4 (PBE-GGA)

Data for a relaxed structure of Na2Zn3InGe4.

Lattice parameters (Å, degrees): 4.3202 4.3202 11.2835 90.00 90.00 90.00
With the nearest neighbours (Å) after each atom.
Space group P-4m2 (No. 115)
Inequivalent atoms, fractional coordinates:
Na  0.0000  0.5000  0.2391  6 Zn 3.28-3.65, 8 Ge 3.32-3.46, 2 In 3.65
Zn  0.0000  0.5000  0.8658  5 Ge 2.48-2.64
Zn  0.5000  0.5000  0.5000  4 Ge 2.72
In  0.0000  0.0000  0.5000  4 Ge 2.72
Ge  0.0000  0.0000  0.0000  4 Zn 2.64
Ge  0.0000  0.5000  0.6462  3 Zn 2.48-2.72, 2 In 2.72
Ge  0.5000  0.5000  0.0000  4 Zn 2.64

Values from the calculation:
- magnetization (μB/cell) = 0.00
- E_form (eV/atom) = -0.049
- D(E_F) (states/eV/f.u.) = 2.5